Crystalline Ca2TaW at its relaxed geometry, computed with GGA-PBE.

Lattice parameters (Å, degrees): 3.665 4.415 10.792 90.00 90.00 90.00
Space group Immm (No. 71)
Symmetry-distinct sites (fractional):
Ca (0.000, 0.000, 0.239)
Ta (0.000, 0.500, 0.000)
W (0.000, 0.500, 0.500)

Results
- Offset from the most stable computed form: 0.4754 eV per atom
- Crystal system: orthorhombic
- Density of states at the Fermi level: 8.38 states/eV/cell
- Formation energy: 874 meV per atom